Entry 1:
5
Lattice="-4.208 0.598 -1.602 1.448 -1.898 -4.513 -1.124 -4.174 1.395" Properties=species:S:1:pos:R:3 comment="PBE SrFeB2Ir, relaxed" dft_energy_ev_per_fu=-15.52 formation_enthalpy_0k_ev_per_atom=3.369 pbc="T T T"
B -0.562 -2.087 0.697
B -2.104 0.299 -0.801
Sr 0.000 0.000 0.000
Fe -1.942 -2.737 -2.360
Ir 0.724 -0.949 -2.256

Entry 2:
5
Lattice="-1.541 -0.570 4.712 -4.026 -2.178 -1.581 2.305 -4.420 0.219" Properties=species:S:1:pos:R:3 comment="PBE SrFeBIr2, relaxed" dft_energy_ev_per_fu=-17.87 formation_enthalpy_0k_ev_per_atom=3.335 pbc="T T T"
Ir -0.771 -0.285 2.356
Ir 1.152 -2.210 0.109
B -1.631 -3.584 1.675
Sr 0.000 0.000 0.000
Fe -2.013 -1.089 -0.790

Entry 3:
18
Lattice="6.739 -0.144 -0.102 3.203 5.931 -0.102 3.203 1.864 5.631" Properties=species:S:1:pos:R:3 comment="PBE Th2FeB12Ir3, relaxed" dft_energy_ev_per_fu=-120.71 formation_enthalpy_0k_ev_per_atom=0.517 pbc="T T T"
B 6.098 3.550 4.338
B 9.891 3.455 4.890
B 7.047 4.102 1.089
B 3.255 4.197 0.537
B 6.098 5.268 1.916
B 7.888 6.894 4.890
B 7.047 2.384 3.511
B 5.257 0.757 0.537
B 3.255 1.894 3.783
B 9.891 5.757 1.644
B 7.592 2.701 1.916
B 5.553 4.950 3.511
Th 8.385 4.881 3.462
Th 4.760 2.771 1.965
Ir 1.602 2.965 -0.051
Ir 3.370 -0.072 -0.051
Ir 1.602 0.932 2.816
Fe 0.000 0.000 0.000

Entry 4:
18
Lattice="7.883 1.407 0.998 5.116 6.160 0.998 5.116 2.978 5.484" Properties=species:S:1:pos:R:3 comment="PBE U2Fe3B12Ir, relaxed" dft_energy_ev_per_fu=-136.03 formation_enthalpy_0k_ev_per_atom=0.051 pbc="T T T"
B 5.803 1.496 1.061
B 3.726 3.206 2.274
B 14.390 7.339 5.206
B 13.949 8.120 3.765
B 4.167 2.426 3.714
B 4.167 4.307 1.061
B 13.949 6.238 6.418
B 4.628 2.694 0.812
B 13.488 8.888 5.206
B 12.313 9.049 6.418
B 4.628 1.657 2.274
B 13.488 7.851 6.668
Fe 3.942 0.703 0.499
Fe 2.558 3.080 0.499
Fe 2.558 1.489 2.742
U 11.585 6.744 4.783
U 6.531 3.802 2.696
Ir 0.000 0.000 0.000

Entry 5:
5
Lattice="4.203 0.000 0.000 0.000 4.203 0.000 0.000 0.000 4.136" Properties=species:S:1:pos:R:3 comment="PBE YFeBIr2, relaxed" dft_energy_ev_per_fu=-41.72 formation_enthalpy_0k_ev_per_atom=-0.479 pbc="T T T"
Ir 2.101 0.000 0.000
Ir 0.000 2.101 0.000
Y 2.101 2.101 2.068
B 0.000 0.000 0.000
Fe 0.000 0.000 2.068

Entry 6:
20
Lattice="-2.742 0.800 -0.393 -2.780 -6.391 6.382 0.900 6.448 6.849" Properties=species:S:1:pos:R:3 comment="PBE Zn2FeB2Ir5, relaxed" dft_energy_ev_per_fu=-70.38 formation_enthalpy_0k_ev_per_atom=-0.171 pbc="T T T"
Ir -1.655 2.262 5.572
Ir -2.326 1.324 8.345
Ir -2.728 1.336 11.174
Ir -2.296 -0.467 4.494
Ir -1.894 -0.479 1.664
Ir -0.921 3.624 3.228
Ir -3.754 -4.150 7.167
Ir -2.967 -1.404 7.267
Ir -0.868 5.008 5.672
Ir -2.761 -2.796 2.995
B 0.212 3.231 5.096
B -0.955 1.631 9.982
B -2.092 -3.174 8.135
B -0.925 -1.573 3.250
Fe -0.940 0.029 6.616
Fe 0.000 0.000 0.000
Zn -1.680 -0.898 9.890
Zn -1.722 -3.185 5.530
Zn -0.158 3.243 7.702
Zn -0.200 0.955 3.342